First-principles (GGA-PBE) data for a relaxed Ac2DyRuO6 crystal, as listed in Alexandria via LeMat-Bulk.

a = 5.778 Å, b = 6.174 Å, c = 8.396 Å
α = 90.00°, β = 90.00°, γ = 90.00°
Site moments in Bohr magnetons follow the coordinates.
Positions (direct):
Ac1 0.500 0.792 0.225  0.00
Ac2 0.000 0.208 0.275  0.00
Dy1 0.000 0.714 0.500  -0.02
O1 0.500 0.210 0.743  0.03
Ac3 0.000 0.208 0.725  0.00
O2 0.249 0.011 0.000  0.03
O3 0.000 0.790 0.243  0.03
O4 0.751 0.011 0.000  0.03
Ac4 0.500 0.792 0.775  0.00
O5 0.749 0.989 0.500  0.03
O6 0.756 0.447 0.500  0.03
Ru1 0.000 0.778 0.000  0.79
O7 0.244 0.447 0.500  0.03
O8 0.000 0.790 0.757  0.03
O9 0.251 0.989 0.500  0.03
O10 0.500 0.210 0.257  0.03
Ru2 0.500 0.222 0.500  0.79
O11 0.744 0.553 0.000  0.03
O12 0.256 0.553 0.000  0.03
Dy2 0.500 0.286 0.000  -0.02

* N(E_F): 4.813 states/eV/f.u.
* total magnetic moment: 1.02 μB/f.u.
* SG: Pmmn
* energy relative to the elements, uncorrected: -2634 meV per atom